Entry 1:
A geometry-optimized Hf2SnPt structure. Source: the Alexandria database, functional PBE.

Geometry as POSCAR:
```
Hf2SnPt
1.0
7.6419 0.0000 0.0000
0.0000 7.6419 0.0000
3.8209 3.8209 3.0360
Hf Pt Sn
4 2 2
direct
0.8750 0.9115 0.7500
0.6615 0.1250 0.2500
0.0885 0.6250 0.2500
0.3750 0.3385 0.7500
0.7500 0.2500 0.5000
0.0000 0.0000 0.0000
0.5000 0.5000 0.0000
0.2500 0.7500 0.5000
```

Output
**ΔH_f (0 K)**: -0.352 eV/atom

=====

Entry 2:
A geometry-optimized LaNd2HoSe5 structure. Source: the Alexandria database, functional PBE.

Geometry as POSCAR:
```
LaNd2HoSe5
1.0
5.1305 0.0000 0.0000
0.0000 5.1305 0.0000
0.0000 0.0000 11.0332
La Se Nd Ho
1 5 2 1
direct
0.0000 0.0000 0.0000
0.0000 0.0000 0.2517
0.0000 0.0000 0.7483
0.5000 0.5000 0.0000
0.5000 0.0000 0.5000
0.0000 0.5000 0.5000
0.5000 0.5000 0.3307
0.5000 0.5000 0.6693
0.0000 0.0000 0.5000
```

Output
**ΔE_f (raw)**: -1.358 eV/atom